{
  "formula": "Ca2Nd2MnNiO8",
  "functional": "GGA+U",
  "state": "optimized geometry",
  "cell": [[3.870, -3.881, 0.000], [3.870, 3.881, 0.000], [0.000, 0.000, 11.885]],
  "species": ["Ca", "Ca", "Ca", "Ca", "Nd", "Nd", "Nd", "Nd", "Mn", "Mn", "Ni", "Ni", "O", "O", "O", "O", "O", "O", "O", "O", "O", "O", "O", "O", "O", "O", "O", "O"],
  "frac_coords": [[0.015, 0.985, 0.864], [0.485, 0.515, 0.864], [0.515, 0.485, 0.136], [0.985, 0.015, 0.136], [0.017, 0.517, 0.354], [0.483, 0.983, 0.354], [0.517, 0.017, 0.646], [0.983, 0.483, 0.646], [0.000, 0.500, 0.000], [0.500, 0.000, 0.000], [0.000, 0.000, 0.500], [0.500, 0.500, 0.500], [0.042, 0.542, 0.836], [0.049, 0.951, 0.322], [0.250, 0.250, 0.000], [0.250, 0.250, 0.500], [0.250, 0.750, 0.027], [0.250, 0.750, 0.529], [0.451, 0.549, 0.322], [0.458, 0.958, 0.836], [0.542, 0.042, 0.164], [0.549, 0.451, 0.678], [0.750, 0.250, 0.471], [0.750, 0.250, 0.973], [0.750, 0.750, 0.000], [0.750, 0.750, 0.500], [0.951, 0.049, 0.678], [0.958, 0.458, 0.164]],
  "dft_energy_ev_per_atom": -7.02,
  "n_ef_per_ev_atom": 0.148,
  "crystal_system": "orthorhombic",
  "density_g_cm3": 5.676
}


{
  "formula": "CaNd2Mn3O9",
  "functional": "GGA+U",
  "state": "optimized geometry",
  "cell": [[16.792, 0.000, 0.000], [0.000, 7.689, 0.000], [0.000, 0.000, 5.484]],
  "species": ["Ca", "Ca", "Ca", "Ca", "Nd", "Nd", "Nd", "Nd", "Nd", "Nd", "Nd", "Nd", "Mn", "Mn", "Mn", "Mn", "Mn", "Mn", "Mn", "Mn", "Mn", "Mn", "Mn", "Mn", "O", "O", "O", "O", "O", "O", "O", "O", "O", "O", "O", "O", "O", "O", "O", "O", "O", "O", "O", "O", "O", "O", "O", "O", "O", "O", "O", "O", "O", "O", "O", "O", "O", "O", "O", "O"],
  "frac_coords": [[0.150, 0.250, 0.008], [0.350, 0.750, 0.508], [0.650, 0.250, 0.492], [0.850, 0.750, 0.992], [0.015, 0.750, 0.509], [0.184, 0.750, 0.984], [0.316, 0.250, 0.484], [0.485, 0.250, 0.009], [0.515, 0.750, 0.991], [0.684, 0.750, 0.516], [0.816, 0.250, 0.016], [0.985, 0.250, 0.491], [0.000, 0.000, 0.000], [0.000, 0.500, 0.000], [0.167, 0.001, 0.496], [0.167, 0.499, 0.496], [0.333, 0.501, 0.996], [0.333, 0.999, 0.996], [0.500, 0.000, 0.500], [0.500, 0.500, 0.500], [0.667, 0.001, 0.004], [0.667, 0.499, 0.004], [0.833, 0.501, 0.504], [0.833, 0.999, 0.504], [0.007, 0.250, 0.921], [0.069, 0.038, 0.291], [0.069, 0.462, 0.291], [0.096, 0.547, 0.782], [0.096, 0.953, 0.782], [0.158, 0.750, 0.413], [0.174, 0.250, 0.582], [0.236, 0.045, 0.207], [0.236, 0.455, 0.207], [0.264, 0.545, 0.707], [0.264, 0.955, 0.707], [0.326, 0.750, 0.082], [0.342, 0.250, 0.913], [0.404, 0.047, 0.282], [0.404, 0.453, 0.282], [0.431, 0.538, 0.791], [0.431, 0.962, 0.791], [0.493, 0.750, 0.421], [0.507, 0.250, 0.579], [0.569, 0.038, 0.209], [0.569, 0.462, 0.209], [0.596, 0.547, 0.718], [0.596, 0.953, 0.718], [0.658, 0.750, 0.087], [0.674, 0.250, 0.918], [0.736, 0.045, 0.293], [0.736, 0.455, 0.293], [0.764, 0.545, 0.793], [0.764, 0.955, 0.793], [0.826, 0.750, 0.418], [0.842, 0.250, 0.587], [0.904, 0.047, 0.218], [0.904, 0.453, 0.218], [0.931, 0.538, 0.709], [0.931, 0.962, 0.709], [0.993, 0.750, 0.079]],
  "dft_energy_ev_per_atom": -7.65,
  "n_ef_per_ev_atom": 0.115,
  "crystal_system": "orthorhombic",
  "density_g_cm3": 5.979
}


{
  "formula": "CaNdMn2O6",
  "functional": "GGA+U",
  "state": "optimized geometry",
  "cell": [[7.671, 0.000, 0.000], [0.000, 5.543, 0.000], [0.000, 0.000, 5.440]],
  "species": ["Ca", "Ca", "Nd", "Nd", "Mn", "Mn", "Mn", "Mn", "O", "O", "O", "O", "O", "O", "O", "O", "O", "O", "O", "O"],
  "frac_coords": [[0.000, 0.203, 0.000], [0.500, 0.797, 0.500], [0.000, 0.703, 0.479], [0.500, 0.297, 0.979], [0.250, 0.248, 0.490], [0.250, 0.752, 0.990], [0.750, 0.248, 0.490], [0.750, 0.752, 0.990], [0.000, 0.270, 0.571], [0.000, 0.771, 0.911], [0.207, 0.461, 0.201], [0.209, 0.960, 0.281], [0.291, 0.040, 0.781], [0.293, 0.539, 0.701], [0.500, 0.229, 0.411], [0.500, 0.730, 0.071], [0.707, 0.539, 0.701], [0.709, 0.040, 0.781], [0.791, 0.960, 0.281], [0.793, 0.461, 0.201]],
  "n_ef_per_ev_atom": 0.156,
  "crystal_system": "orthorhombic",
  "density_g_cm3": 5.602,
  "relative_energy_mev_per_atom": 1
}


{
  "formula": "Ca3NdMn4O12",
  "functional": "GGA+U",
  "state": "optimized geometry",
  "cell": [[5.385, 0.000, 0.000], [0.000, 7.657, 0.000], [0.000, 0.000, 5.455]],
  "species": ["Ca", "Ca", "Ca", "Nd", "Mn", "Mn", "Mn", "Mn", "O", "O", "O", "O", "O", "O", "O", "O", "O", "O", "O", "O"],
  "frac_coords": [[0.000, 0.000, 0.000], [0.020, 0.500, 0.086], [0.519, 0.000, 0.497], [0.502, 0.500, 0.585], [0.009, 0.246, 0.542], [0.009, 0.754, 0.542], [0.511, 0.246, 0.043], [0.511, 0.754, 0.043], [0.089, 0.000, 0.569], [0.224, 0.296, 0.827], [0.224, 0.704, 0.827], [0.300, 0.288, 0.331], [0.300, 0.712, 0.331], [0.429, 0.000, 0.060], [0.587, 0.500, 0.031], [0.715, 0.213, 0.748], [0.715, 0.787, 0.748], [0.801, 0.208, 0.252], [0.801, 0.792, 0.252], [0.939, 0.500, 0.523]],
  "dft_energy_ev_per_atom": -7.22,
  "n_ef_per_ev_atom": 0.151,
  "crystal_system": "monoclinic",
  "density_g_cm3": 4.991
}


{
  "formula": "CaNdMn4O12",
  "functional": "GGA+U",
  "state": "optimized geometry",
  "cell": [[7.558, 0.000, 0.000], [0.000, 3.752, 3.771], [0.000, -3.752, 3.771]],
  "species": ["Ca", "Nd", "Mn", "Mn", "Mn", "Mn", "O", "O", "O", "O", "O", "O", "O", "O", "O", "O", "O", "O"],
  "frac_coords": [[0.000, 0.000, 0.000], [0.500, 0.471, 0.471], [0.245, 0.490, 0.982], [0.245, 0.982, 0.490], [0.755, 0.490, 0.982], [0.755, 0.982, 0.490], [0.000, 0.019, 0.442], [0.000, 0.442, 0.019], [0.212, 0.773, 0.773], [0.256, 0.270, 0.706], [0.256, 0.706, 0.270], [0.284, 0.219, 0.219], [0.500, 0.520, 0.950], [0.500, 0.950, 0.520], [0.716, 0.219, 0.219], [0.744, 0.270, 0.706], [0.744, 0.706, 0.270], [0.788, 0.773, 0.773]],
  "dft_energy_ev_per_atom": -6.80,
  "n_ef_per_ev_atom": 0.219,
  "crystal_system": "orthorhombic",
  "density_g_cm3": 4.628
}


{
  "formula": "CaNdMn2O6",
  "functional": "GGA+U",
  "state": "optimized geometry",
  "cell": [[5.443, 0.000, 0.000], [0.000, 30.693, 0.000], [-0.002, 0.000, 5.538]],
  "species": ["Ca", "Ca", "Ca", "Ca", "Ca", "Ca", "Ca", "Ca", "Nd", "Nd", "Nd", "Nd", "Nd", "Nd", "Nd", "Nd", "Mn", "Mn", "Mn", "Mn", "Mn", "Mn", "Mn", "Mn", "Mn", "Mn", "Mn", "Mn", "Mn", "Mn", "Mn", "Mn", "O", "O", "O", "O", "O", "O", "O", "O", "O", "O", "O", "O", "O", "O", "O", "O", "O", "O", "O", "O", "O", "O", "O", "O", "O", "O", "O", "O", "O", "O", "O", "O", "O", "O", "O", "O", "O", "O", "O", "O", "O", "O", "O", "O", "O", "O", "O", "O"],
  "frac_coords": [[0.000, 0.000, 0.000], [0.000, 0.250, 0.000], [0.000, 0.750, 0.000], [0.478, 0.500, 0.497], [0.500, 0.125, 0.407], [0.500, 0.375, 0.408], [0.500, 0.625, 0.408], [0.500, 0.875, 0.407], [0.479, 0.000, 0.499], [0.480, 0.250, 0.499], [0.480, 0.750, 0.499], [0.979, 0.125, 0.907], [0.979, 0.875, 0.907], [0.980, 0.374, 0.907], [0.980, 0.626, 0.907], [0.999, 0.500, 0.000], [0.490, 0.062, 0.956], [0.490, 0.187, 0.956], [0.490, 0.312, 0.956], [0.490, 0.437, 0.953], [0.490, 0.563, 0.953], [0.490, 0.688, 0.956], [0.490, 0.813, 0.956], [0.490, 0.938, 0.956], [0.990, 0.063, 0.451], [0.990, 0.187, 0.451], [0.990, 0.312, 0.451], [0.990, 0.437, 0.454], [0.990, 0.563, 0.454], [0.990, 0.688, 0.451], [0.990, 0.813, 0.451], [0.990, 0.937, 0.451], [0.071, 0.125, 0.474], [0.071, 0.875, 0.474], [0.072, 0.375, 0.471], [0.072, 0.625, 0.471], [0.197, 0.447, 0.746], [0.197, 0.553, 0.746], [0.201, 0.052, 0.742], [0.201, 0.302, 0.742], [0.201, 0.698, 0.742], [0.201, 0.948, 0.742], [0.202, 0.198, 0.742], [0.202, 0.802, 0.742], [0.274, 0.449, 0.239], [0.274, 0.551, 0.239], [0.279, 0.302, 0.243], [0.279, 0.698, 0.243], [0.280, 0.052, 0.243], [0.280, 0.198, 0.243], [0.280, 0.802, 0.243], [0.280, 0.948, 0.243], [0.410, 0.125, 0.974], [0.410, 0.875, 0.974], [0.412, 0.375, 0.978], [0.412, 0.625, 0.978], [0.566, 0.500, 0.926], [0.571, 0.000, 0.933], [0.571, 0.250, 0.933], [0.571, 0.750, 0.933], [0.701, 0.073, 0.665], [0.701, 0.323, 0.665], [0.701, 0.677, 0.665], [0.701, 0.927, 0.665], [0.702, 0.177, 0.665], [0.702, 0.823, 0.665], [0.706, 0.425, 0.669], [0.706, 0.575, 0.669], [0.779, 0.323, 0.165], [0.779, 0.677, 0.165], [0.780, 0.073, 0.164], [0.780, 0.177, 0.163], [0.780, 0.823, 0.163], [0.780, 0.927, 0.164], [0.783, 0.428, 0.160], [0.783, 0.572, 0.160], [0.906, 0.500, 0.438], [0.910, 0.000, 0.432], [0.910, 0.250, 0.433], [0.910, 0.750, 0.433]],
  "n_ef_per_ev_atom": 0.156,
  "crystal_system": "monoclinic",
  "density_g_cm3": 5.602,
  "relative_energy_mev_per_atom": 0
}


{
  "formula": "CaNdMn2O6",
  "functional": "GGA+U",
  "state": "optimized geometry",
  "cell": [[5.446, 0.000, 0.000], [0.003, 5.535, 0.000], [0.005, 0.012, 23.055]],
  "species": ["Ca", "Ca", "Ca", "Ca", "Ca", "Ca", "Nd", "Nd", "Nd", "Nd", "Nd", "Nd", "Mn", "Mn", "Mn", "Mn", "Mn", "Mn", "Mn", "Mn", "Mn", "Mn", "Mn", "Mn", "O", "O", "O", "O", "O", "O", "O", "O", "O", "O", "O", "O", "O", "O", "O", "O", "O", "O", "O", "O", "O", "O", "O", "O", "O", "O", "O", "O", "O", "O", "O", "O", "O", "O", "O", "O"],
  "frac_coords": [[0.000, 0.000, 0.000], [0.000, 0.000, 0.334], [0.480, 0.500, 0.000], [0.480, 0.501, 0.662], [0.481, 0.499, 0.333], [0.980, 0.092, 0.495], [0.000, 0.000, 0.662], [0.499, 0.589, 0.166], [0.499, 0.592, 0.497], [0.500, 0.589, 0.833], [0.980, 0.090, 0.833], [0.981, 0.089, 0.166], [0.488, 0.044, 0.918], [0.489, 0.044, 0.252], [0.489, 0.045, 0.081], [0.489, 0.045, 0.747], [0.489, 0.047, 0.414], [0.491, 0.049, 0.580], [0.989, 0.544, 0.580], [0.991, 0.543, 0.747], [0.991, 0.544, 0.413], [0.991, 0.545, 0.081], [0.992, 0.544, 0.918], [0.992, 0.545, 0.252], [0.065, 0.530, 0.166], [0.067, 0.531, 0.832], [0.068, 0.524, 0.497], [0.194, 0.248, 0.928], [0.195, 0.249, 0.261], [0.196, 0.250, 0.736], [0.196, 0.251, 0.070], [0.199, 0.256, 0.401], [0.202, 0.258, 0.595], [0.277, 0.759, 0.595], [0.278, 0.755, 0.733], [0.284, 0.751, 0.070], [0.284, 0.752, 0.402], [0.285, 0.748, 0.928], [0.285, 0.749, 0.261], [0.409, 0.028, 0.497], [0.414, 0.028, 0.832], [0.415, 0.030, 0.166], [0.569, 0.068, 0.664], [0.573, 0.072, 0.999], [0.574, 0.070, 0.332], [0.699, 0.337, 0.567], [0.700, 0.335, 0.428], [0.706, 0.328, 0.234], [0.706, 0.329, 0.098], [0.706, 0.330, 0.900], [0.707, 0.329, 0.764], [0.774, 0.828, 0.234], [0.774, 0.829, 0.098], [0.774, 0.829, 0.900], [0.775, 0.830, 0.430], [0.777, 0.832, 0.762], [0.780, 0.837, 0.567], [0.907, 0.572, 0.999], [0.907, 0.573, 0.332], [0.908, 0.565, 0.664]],
  "n_ef_per_ev_atom": 0.163,
  "crystal_system": "triclinic",
  "density_g_cm3": 5.594,
  "relative_energy_mev_per_atom": 2
}


{
  "formula": "CaNd2MnO5",
  "functional": "GGA+U",
  "state": "optimized geometry",
  "cell": [[6.723, 0.000, 0.000], [0.000, 6.723, 0.000], [0.000, 0.000, 5.716]],
  "species": ["Ca", "Ca", "Nd", "Nd", "Nd", "Nd", "Mn", "Mn", "O", "O", "O", "O", "O", "O", "O", "O", "O", "O"],
  "frac_coords": [[0.000, 0.000, 0.000], [0.500, 0.500, 0.000], [0.173, 0.327, 0.500], [0.327, 0.827, 0.500], [0.673, 0.173, 0.500], [0.827, 0.673, 0.500], [0.000, 0.500, 0.000], [0.500, 0.000, 0.000], [0.000, 0.000, 0.500], [0.140, 0.640, 0.238], [0.140, 0.640, 0.762], [0.360, 0.140, 0.238], [0.360, 0.140, 0.762], [0.500, 0.500, 0.500], [0.640, 0.860, 0.238], [0.640, 0.860, 0.762], [0.860, 0.360, 0.238], [0.860, 0.360, 0.762]],
  "dft_energy_ev_per_atom": -7.50,
  "crystal_system": "tetragonal",
  "density_g_cm3": 5.958
}


{
  "formula": "CaNdMn2O6",
  "functional": "GGA+U",
  "state": "optimized geometry",
  "cell": [[7.727, 0.000, 0.000], [0.000, 7.692, 0.000], [-3.696, 0.000, 11.674]],
  "species": ["Ca", "Ca", "Ca", "Ca", "Ca", "Ca", "Nd", "Nd", "Nd", "Nd", "Nd", "Nd", "Mn", "Mn", "Mn", "Mn", "Mn", "Mn", "Mn", "Mn", "Mn", "Mn", "Mn", "Mn", "O", "O", "O", "O", "O", "O", "O", "O", "O", "O", "O", "O", "O", "O", "O", "O", "O", "O", "O", "O", "O", "O", "O", "O", "O", "O", "O", "O", "O", "O", "O", "O", "O", "O", "O", "O"],
  "frac_coords": [[0.000, 0.000, 0.000], [0.106, 0.500, 0.308], [0.274, 0.500, 0.632], [0.437, 0.500, 0.972], [0.670, 0.000, 0.340], [0.839, 0.000, 0.663], [0.172, 0.000, 0.328], [0.326, 0.000, 0.667], [0.504, 0.000, 0.997], [0.614, 0.500, 0.297], [0.775, 0.500, 0.640], [0.949, 0.500, 0.971], [0.138, 0.251, 0.818], [0.138, 0.749, 0.818], [0.304, 0.250, 0.151], [0.304, 0.750, 0.151], [0.473, 0.251, 0.485], [0.473, 0.749, 0.485], [0.638, 0.250, 0.818], [0.638, 0.750, 0.818], [0.807, 0.248, 0.152], [0.807, 0.752, 0.152], [0.972, 0.250, 0.485], [0.972, 0.750, 0.485], [0.068, 0.209, 0.176], [0.068, 0.791, 0.176], [0.093, 0.214, 0.651], [0.093, 0.786, 0.651], [0.101, 0.000, 0.836], [0.176, 0.500, 0.798], [0.185, 0.290, 0.985], [0.185, 0.710, 0.985], [0.208, 0.287, 0.455], [0.208, 0.713, 0.455], [0.290, 0.500, 0.185], [0.317, 0.000, 0.119], [0.400, 0.203, 0.841], [0.400, 0.797, 0.841], [0.429, 0.207, 0.318], [0.429, 0.793, 0.318], [0.431, 0.000, 0.504], [0.515, 0.500, 0.463], [0.516, 0.296, 0.651], [0.516, 0.704, 0.651], [0.542, 0.294, 0.125], [0.542, 0.706, 0.125], [0.630, 0.500, 0.855], [0.648, 0.000, 0.781], [0.737, 0.212, 0.515], [0.737, 0.788, 0.515], [0.759, 0.205, 0.985], [0.759, 0.795, 0.985], [0.764, 0.000, 0.173], [0.845, 0.500, 0.135], [0.848, 0.286, 0.318], [0.848, 0.714, 0.318], [0.877, 0.298, 0.797], [0.877, 0.702, 0.797], [0.953, 0.500, 0.512], [0.994, 0.000, 0.457]],
  "n_ef_per_ev_atom": 0.165,
  "crystal_system": "monoclinic",
  "density_g_cm3": 5.603,
  "relative_energy_mev_per_atom": 1
}